This record from Alexandria describes a relaxed TbAlGePt3 crystal. The functional is GGA-PBE.

POSCAR file:
```
TbAlGePt3
1.0
2.808 -8.015 0.000
2.808 8.015 0.000
0.000 0.000 5.586
Tb Al Ge Pt
2 2 2 6
direct
0.192 0.808 0.750
0.808 0.192 0.250
0.404 0.596 0.250
0.596 0.404 0.750
0.097 0.903 0.250
0.903 0.097 0.750
0.250 0.250 0.000
0.250 0.250 0.500
0.251 0.749 0.250
0.749 0.251 0.750
0.750 0.750 0.000
0.750 0.750 0.500
```

## Properties
Its space group is Cmcm. As for the theoretical density: 11.14 g/cm3. The calculation puts the formation energy from the elements at -0.792 eV/atom. The density of states at the Fermi level comes out at 5.89 states/eV per cell.